A plane-wave DFT calculation with PBE-GGA was carried out for an optimized crystal structure of Re3SiTe.

Summary:
**Energy relative to the lowest polymorph listed for this composition**: 0.0 kJ per mole of atoms
**Calculated volume**: 92.0 Å³ per cell
**Fermi-level density of states**: 0.86 states/eV/atom
**ΔE_f (raw)**: 1.385 eV per atom
**Raw total energy**: -7.797 eV per atom

extended XYZ file:
```
5
Lattice="4.5136 0.0000 0.0000 0.0000 4.5136 0.0000 0.0000 0.0000 4.5136" Properties=species:S:1:pos:R:3 pbc="T T T"
Re 0.0000 2.2568 0.0000
Re 0.0000 0.0000 2.2568
Re 2.2568 0.0000 0.0000
Si 0.0000 0.0000 0.0000
Te 2.2568 2.2568 2.2568
```